4
Lattice="0.0000 3.0023 3.0023 3.0023 0.0000 3.0023 3.0023 3.0023 0.0000" Properties=species:S:1:pos:R:3 comment="VCu2W, relaxed, DFT PBE-GGA" total_magnetization_mub_per_cell=0.3 formation_enthalpy_0k_ev_per_atom=0.46 total_energy_ev_per_atom=-7.10 relative_energy_ev_per_atom=0.000 pbc="T T T"
W 3.0023 3.0023 3.0023
Cu 1.5012 1.5012 1.5012
Cu 4.5035 4.5035 4.5035
V 0.0000 0.0000 0.0000